Crystalline YTiAs2Se at its relaxed geometry, computed with PBE.

Computed properties:
Its space group is P4/mmm. The electronic total energy comes out at -30.133 eV for the cell shown. The calculation puts the total magnetic moment at 0.00 μB/cell. As for the crystal system: tetragonal.

```
5
Lattice="4.8447 0.0000 0.0000 0.0000 4.8447 0.0000 0.0000 0.0000 5.0151" Properties=species:S:1:pos:R:3 pbc="T T T"
Y 0.0000 0.0000 0.0000
Ti 2.4223 2.4223 2.5076
As 0.0000 2.4223 2.5076
As 2.4223 0.0000 2.5076
Se 2.4223 2.4223 0.0000
```